Density functional theory data (PBE with a Hubbard U) for a geometry-optimized Sr3MgFe2S2O5 structure.

Properties
VASP energy in eV per cell: -76.8
Crystal system: tetragonal

abc: 13.9997 13.9997 13.9997
angles: 163.74 163.74 23.07
Positions (direct):
Mg 0.7500 0.2500 0.5000
Sr 0.5000 0.5000 0.0000
Sr 0.6384 0.6384 0.0000
Sr 0.3616 0.3616 0.0000
S 0.1938 0.1938 0.0000
S 0.8062 0.8062 0.0000
Fe 0.0704 0.0704 0.0000
Fe 0.9296 0.9296 0.0000
O 0.0798 0.5798 0.5000
O 0.5811 0.0811 0.5000
O 0.9189 0.4189 0.5000
O 0.4202 0.9202 0.5000
O 0.0000 0.0000 0.0000